{
  "formula": "CoAs2IrRh",
  "functional": "PBE",
  "state": "optimized geometry",
  "volume_a3_per_atom": 17.21,
  "spacegroup": "P4/mmm (123)",
  "formation_energy_ev_per_atom": 0.899,
  "n_ef_per_ev_fu": 6.0,
  "final_energy_ev_per_cell": -28.12,
  "cell": [[4.346, 0.000, 0.000], [0.000, 4.346, 0.000], [0.000, 0.000, 4.556]],
  "species": ["Co", "As", "As", "Ir", "Rh"],
  "frac_coords": [[0.000, 0.000, 0.000], [0.000, 0.500, 0.000], [0.500, 0.000, 0.000], [0.500, 0.500, 0.500], [0.000, 0.000, 0.500]]
}

{
  "formula": "CoAsIrSe2",
  "functional": "PBE",
  "state": "optimized geometry",
  "volume_a3_per_atom": 23.47,
  "spacegroup": "P4/mmm (123)",
  "n_ef_per_ev_fu": 10.1,
  "formation_energy_uncorrected_mev_per_atom": 1299,
  "final_energy_ev_per_cell": -21.09,
  "cell": [[5.071, 0.000, 0.000], [0.000, 5.071, 0.000], [0.000, 0.000, 4.563]],
  "species": ["Co", "As", "Ir", "Se", "Se"],
  "frac_coords": [[0.000, 0.000, 0.000], [0.500, 0.500, 0.500], [0.500, 0.500, 0.000], [0.000, 0.500, 0.500], [0.500, 0.000, 0.500]]
}

{
  "formula": "CoAs2IrSe",
  "functional": "PBE",
  "state": "optimized geometry",
  "volume_a3_per_atom": 18.07,
  "spacegroup": "P4/mmm (123)",
  "n_ef_per_ev_fu": 3.7,
  "formation_energy_uncorrected_mev_per_atom": 734,
  "final_energy_ev_per_cell": -25.08,
  "cell": [[4.399, 0.000, 0.000], [0.000, 4.399, 0.000], [0.000, 0.000, 4.669]],
  "species": ["Co", "As", "As", "Ir", "Se"],
  "frac_coords": [[0.000, 0.000, 0.000], [0.000, 0.500, 0.000], [0.500, 0.000, 0.000], [0.500, 0.500, 0.500], [0.000, 0.000, 0.500]]
}

{
  "formula": "CoAsIrSe2",
  "functional": "PBE",
  "state": "optimized geometry",
  "volume_a3_per_atom": 18.35,
  "spacegroup": "P4/mmm (123)",
  "n_ef_per_ev_fu": 3.3,
  "formation_energy_uncorrected_mev_per_atom": 810,
  "final_energy_ev_per_cell": -23.54,
  "cell": [[4.588, 0.000, 0.000], [0.000, 4.588, 0.000], [0.000, 0.000, 4.357]],
  "species": ["Co", "As", "Ir", "Se", "Se"],
  "frac_coords": [[0.000, 0.000, 0.000], [0.000, 0.000, 0.500], [0.500, 0.500, 0.500], [0.000, 0.500, 0.000], [0.500, 0.000, 0.000]]
}

{
  "formula": "Th2Co3As4Ir",
  "functional": "PBE",
  "state": "optimized geometry",
  "volume_a3_per_atom": 16.98,
  "spacegroup": "P-4m2 (115)",
  "formation_energy_ev_per_atom": -0.801,
  "n_ef_per_ev_fu": 4.5,
  "final_energy_ev_per_cell": -71.63,
  "cell": [[4.226, 0.000, 0.000], [0.000, 4.226, 0.000], [0.000, 0.000, 9.511]],
  "species": ["Th", "Th", "Co", "Co", "Co", "As", "As", "As", "As", "Ir"],
  "frac_coords": [[0.000, 0.500, 0.247], [0.500, 0.000, 0.753], [0.000, 0.500, 0.888], [0.500, 0.000, 0.112], [0.500, 0.500, 0.500], [0.000, 0.000, 0.000], [0.000, 0.500, 0.643], [0.500, 0.000, 0.357], [0.500, 0.500, 0.000], [0.000, 0.000, 0.500]]
}

{
  "formula": "Th2CoAs4Ir3",
  "functional": "PBE",
  "state": "optimized geometry",
  "volume_a3_per_atom": 18.44,
  "spacegroup": "P-4m2 (115)",
  "formation_energy_ev_per_atom": -0.771,
  "n_ef_per_ev_fu": 4.7,
  "final_energy_ev_per_cell": -74.84,
  "cell": [[4.344, 0.000, 0.000], [0.000, 4.344, 0.000], [0.000, 0.000, 9.772]],
  "species": ["Th", "Th", "Co", "As", "As", "As", "As", "Ir", "Ir", "Ir"],
  "frac_coords": [[0.000, 0.500, 0.246], [0.500, 0.000, 0.754], [0.500, 0.500, 0.000], [0.000, 0.000, 0.500], [0.000, 0.500, 0.871], [0.500, 0.000, 0.129], [0.500, 0.500, 0.500], [0.000, 0.000, 0.000], [0.000, 0.500, 0.620], [0.500, 0.000, 0.380]]
}